No. 1
A plane-wave DFT calculation with meta-GGA SCAN was carried out for a crystal of Zr3Al4C6 relaxed with PBEsol.

## Properties
Uncorrected energy, eV per atom: -14.715

POSCAR file:
```
Zr3Al4C6
1.0
1.6633 0.9603 16.3109
-1.6633 0.9603 16.3109
0.0000 -1.9207 16.3109
Zr Al C
3 4 6
Direct
0.0000 0.0000 0.0000 Zr
0.3882 0.3882 0.3882 Zr
0.6118 0.6118 0.6118 Zr
0.1477 0.1477 0.1477 Al
0.2319 0.2319 0.2319 Al
0.7681 0.7681 0.7681 Al
0.8523 0.8523 0.8523 Al
0.0833 0.0833 0.0833 C
0.1922 0.1922 0.1922 C
0.3057 0.3057 0.3057 C
0.6943 0.6943 0.6943 C
0.8078 0.8078 0.8078 C
0.9167 0.9167 0.9167 C
```

No. 2
A plane-wave DFT calculation with meta-GGA SCAN was carried out for a crystal of Mg3ReRh relaxed with PBEsol.

## Properties
Uncorrected energy, eV per atom: -22.501

POSCAR file:
```
Mg3ReRh
1.0
4.8783 0.0000 0.0000
0.0000 4.8783 0.0000
0.0000 0.0000 4.8783
Mg Re Rh
3 1 1
Direct
0.0000 0.0000 0.5000 Mg
0.0000 0.5000 0.0000 Mg
0.5000 0.0000 0.0000 Mg
0.0000 0.0000 0.0000 Re
0.5000 0.5000 0.5000 Rh
```

No. 3
A plane-wave DFT calculation with meta-GGA SCAN was carried out for a crystal of In9Ag17 relaxed with PBEsol.

## Properties
Uncorrected energy, eV per atom: -32.088

POSCAR file:
```
In9Ag17
1.0
6.9656 -6.9399 0.0000
6.9656 6.9399 0.0000
-0.0699 0.0000 9.8619
In Ag
18 34
Direct
0.0000 0.0000 0.0000 In
0.0385 0.6808 0.9670 In
0.0552 0.3050 0.3445 In
0.0716 0.0716 0.5771 In
0.3050 0.0552 0.3445 In
0.3070 0.3070 0.5934 In
0.3529 0.9821 0.9371 In
0.3637 0.7087 0.6616 In
0.3740 0.3740 0.0066 In
0.3757 0.6358 0.2721 In
0.6358 0.3757 0.2721 In
0.6411 0.9842 0.6464 In
0.6808 0.0385 0.9670 In
0.7062 0.9820 0.2974 In
0.7087 0.3637 0.6616 In
0.9821 0.3529 0.9371 In
0.9820 0.7062 0.2974 In
0.9842 0.6411 0.6464 In
0.0051 0.0051 0.2919 Ag
0.0080 0.3530 0.6401 Ag
0.1387 0.8658 0.7692 Ag
0.1489 0.4960 0.1511 Ag
0.1814 0.8232 0.4674 Ag
0.1842 0.1842 0.1127 Ag
0.1844 0.1844 0.8242 Ag
0.1845 0.5367 0.4680 Ag
0.2052 0.4921 0.7915 Ag
0.2069 0.8503 0.1638 Ag
0.3244 0.6816 0.9666 Ag
0.3455 0.3455 0.3029 Ag
0.3530 0.0080 0.6401 Ag
0.4841 0.8473 0.4393 Ag
0.4921 0.2052 0.7915 Ag
0.4960 0.1489 0.1511 Ag
0.5004 0.5004 0.4975 Ag
0.5036 0.5036 0.7930 Ag
0.5036 0.8555 0.1427 Ag
0.5367 0.1845 0.4680 Ag
0.5729 0.7859 0.8608 Ag
0.5811 0.5811 0.0673 Ag
0.6816 0.3244 0.9666 Ag
0.6819 0.6819 0.3239 Ag
0.6826 0.6826 0.6108 Ag
0.7859 0.5729 0.8608 Ag
0.7892 0.7892 0.0790 Ag
0.8232 0.1814 0.4674 Ag
0.8473 0.4841 0.4393 Ag
0.8503 0.2069 0.1638 Ag
0.8504 0.8504 0.8002 Ag
0.8555 0.5036 0.1427 Ag
0.8658 0.1387 0.7692 Ag
0.8729 0.8729 0.5118 Ag
```

No. 4
A plane-wave DFT calculation with meta-GGA SCAN was carried out for a crystal of Mn2TlTc relaxed with PBEsol.

## Properties
Uncorrected energy, eV per atom: -35.652

POSCAR file:
```
Mn2TlTc
1.0
8.9164 0.0000 0.0000
0.0000 2.8958 0.0000
-1.0776 0.0000 4.5436
Mn Tl Tc
4 2 2
Direct
0.0000 0.0000 0.0000 Mn
0.2420 0.5000 0.2344 Mn
0.5000 0.5000 0.0000 Mn
0.7420 0.0000 0.2344 Mn
0.2392 0.0000 0.7340 Tl
0.7392 0.5000 0.7340 Tl
0.4747 0.0000 0.4180 Tc
0.9747 0.5000 0.4180 Tc
```

No. 5
A plane-wave DFT calculation with meta-GGA SCAN was carried out for a crystal of CrNi2Os relaxed with PBEsol.

## Properties
ΔE to the lowest computed polymorph, eV/atom: 0.003

POSCAR file:
```
CrNi2Os
1.0
3.6170 0.0000 0.0000
0.0000 3.6170 0.0000
0.0000 0.0000 7.0200
Cr Ni Os
2 4 2
Direct
0.0000 0.0000 0.0000 Cr
0.5000 0.5000 0.5000 Cr
0.0000 0.0000 0.5000 Ni
0.0000 0.5000 0.7500 Ni
0.5000 0.0000 0.2500 Ni
0.5000 0.5000 0.0000 Ni
0.0000 0.5000 0.2500 Os
0.5000 0.0000 0.7500 Os
```

No. 6
A plane-wave DFT calculation with meta-GGA SCAN was carried out for a crystal of BiO2 relaxed with PBEsol.

## Properties
ΔE to the lowest computed polymorph, eV/atom: 0.000
ΔE_f (raw), eV/atom: -0.878

POSCAR file:
```
BiO2
1.0
4.0727 -3.7298 0.0000
4.0727 3.7298 0.0000
-0.3646 0.0000 5.6338
Bi O
4 8
Direct
0.0000 0.0000 0.0000 Bi
0.4707 0.9908 0.5709 Bi
0.5095 0.5095 0.0916 Bi
0.9908 0.4707 0.5709 Bi
0.2184 0.7597 0.7426 O
0.2347 0.2347 0.8506 O
0.2409 0.8232 0.2484 O
0.3228 0.3228 0.3918 O
0.7169 0.7169 0.3881 O
0.7501 0.7501 0.8743 O
0.7597 0.2184 0.7426 O
0.8232 0.2409 0.2484 O
```

No. 7
A plane-wave DFT calculation with meta-GGA SCAN was carried out for a crystal of Ba2ZrOs relaxed with PBEsol.

## Properties
Uncorrected energy, eV per atom: -44.190

POSCAR file:
```
Ba2ZrOs
1.0
3.3755 0.0000 0.0000
-1.6878 2.9233 0.0000
0.0000 0.0000 33.7320
Ba Zr Os
6 3 3
Direct
0.0000 0.0000 0.2369 Ba
0.0000 0.0000 0.7631 Ba
0.3333 0.6667 0.4298 Ba
0.3333 0.6667 0.9035 Ba
0.6667 0.3333 0.0965 Ba
0.6667 0.3333 0.5702 Ba
0.0000 0.0000 0.0000 Zr
0.3333 0.6667 0.6667 Zr
0.6667 0.3333 0.3333 Zr
0.0000 0.0000 0.5000 Os
0.3333 0.6667 0.1667 Os
0.6667 0.3333 0.8333 Os
```

No. 8
A plane-wave DFT calculation with meta-GGA SCAN was carried out for a crystal of BaMnCl relaxed with PBEsol.

## Properties
ΔE to the lowest computed polymorph, eV/atom: 0.000
ΔE_f (raw), eV/atom: -0.574

POSCAR file:
```
BaMnCl
1.0
4.9223 0.0000 0.0000
-2.4612 4.2629 0.0000
0.0000 0.0000 3.8748
Ba Mn Cl
1 1 1
Direct
0.0000 0.0000 0.0000 Ba
0.6667 0.3333 0.5000 Mn
0.3333 0.6667 0.5000 Cl
```

What magnetization values result from the calculations? In sequence: 0.00, 1.98, 0.00, 11.56, 0.00, 0.00, 0.02, 4.39 μB/cell.